# Cs2Rb2ZnAs2, optimized geometry, DFT GGA-PBE
data_Cs2Rb2ZnAs2
_chemical_formula_sum 'Cs6 Rb6 Zn3 As6'
_cell_length_a 6.1284
_cell_length_b 6.1284
_cell_length_c 28.9206
_cell_angle_alpha 90.00
_cell_angle_beta 90.00
_cell_angle_gamma 120.00
_symmetry_space_group_name_H-M 'R -3 m'
_symmetry_Int_Tables_number 166
_symmetry_space_group_name_Hall '-R 3 2"'
loop_
_atom_site_label
_atom_site_fract_x
_atom_site_fract_y
_atom_site_fract_z
_atom_site_occupancy
Cs1 0.0000 0.0000 0.2085 1
Rb1 0.0000 0.0000 0.3782 1
Zn1 0.0000 0.0000 0.0000 1
As1 0.0000 0.0000 0.0805 1
# Final energy   -17.30 eV/f.u.